The following is a GGA+U calculation of VAsNF2 after structural relaxation, from Alexandria.

```
VAsNF2
1.0
4.1736 0.0000 0.0000
0.0000 4.1736 0.0000
0.0000 0.0000 4.0732
V As N F
1 1 1 2
direct
0.0000 0.0000 0.0000
0.5000 0.5000 0.5000
0.5000 0.5000 0.0000
0.0000 0.5000 0.5000
0.5000 0.0000 0.5000
```

SG   P4/mmm
E   -5.11 eV/atom
Excess energy over the best structure of this formula in the dataset   376 meV per atom
Total magnetic moment   3.3 μB per formula unit